Entry 1:
Pm3Pr5Nd2 after structural relaxation, computed with GGA-PBE.

The value obtained for the formation energy is 0.34 eV/atom. The energy above the most stable polymorph in this dataset comes out at 3.94 kcal/mol of atoms.

It has space group Ibam (No. 72), with a = 9.6218 Å, b = 22.5628 Å, c = 6.9501 Å, α = 90.00°, β = 90.00° and γ = 90.00°. Symmetry generates all atoms from Pm at (0.0000, 0.0000, 0.2500), Pm at (0.2485, 0.1214, 0.0000), Pr at (0.0000, 0.2464, 0.2500), Pr at (0.0000, 0.5000, 0.2500), Pr at (0.0952, 0.3714, 0.0000) and Nd at (0.0959, 0.1205, 0.5000).


Entry 2:
KAl2Co after structural relaxation, computed with GGA-PBE.

The value obtained for the formation energy is 0.84 eV/atom. The energy above the most stable polymorph in this dataset comes out at 18.81 kcal/mol of atoms.

It has space group P4/mmm (No. 123), with a = 4.1987 Å, b = 4.1987 Å, c = 4.6473 Å, α = 90.00°, β = 90.00° and γ = 90.00°. Symmetry generates all atoms from K at (0.0000, 0.0000, 0.0000), Al at (0.0000, 0.5000, 0.5000) and Co at (0.5000, 0.5000, 0.0000).